A plane-wave DFT calculation with GGA-PBE was carried out for crystalline CuSb2Pd9 at its relaxed geometry.

Lattice parameters (Å, degrees): 4.0260 4.0260 11.8769 90.00 90.00 90.00
With the nearest neighbours (Å) after each atom.
Fractional coordinates of all 12 atoms:
Cu1 0.0000 0.0000 0.0000  12 Pd 2.76-2.85
Sb1 0.0000 0.0000 0.3199  12 Pd 2.78-2.94
Sb2 0.0000 0.0000 0.6801  12 Pd 2.78-2.94
Pd1 0.0000 0.5000 0.1589  2 Cu 2.76, 8 Pd 2.76-2.89, 2 Sb 2.78
Pd2 0.0000 0.5000 0.5000  8 Pd 2.83-2.85, 4 Sb 2.94
Pd3 0.0000 0.5000 0.8411  2 Cu 2.76, 8 Pd 2.76-2.89, 2 Sb 2.78
Pd4 0.5000 0.0000 0.1589  2 Cu 2.76, 8 Pd 2.76-2.89, 2 Sb 2.78
Pd5 0.5000 0.0000 0.5000  8 Pd 2.83-2.85, 4 Sb 2.94
Pd6 0.5000 0.0000 0.8411  2 Cu 2.76, 8 Pd 2.76-2.89, 2 Sb 2.78
Pd7 0.5000 0.5000 0.0000  8 Pd 2.76, 4 Cu 2.85
Pd8 0.5000 0.5000 0.3331  8 Pd 2.83-2.89, 4 Sb 2.85
Pd9 0.5000 0.5000 0.6669  8 Pd 2.83-2.89, 4 Sb 2.85

Results
The crystal system is tetragonal. The space group is P4/mmm, No. 123. Its uncorrected formation energy is -0.29 eV per atom.